1.
# PmGe3Rh5, relaxed, DFT PBE
# Formation energy ... -582.4 meV/atom
data_PmGe3Rh5
_chemical_formula_sum 'Pm4 Ge12 Rh20'
_cell_length_a 4.027
_cell_length_b 12.735
_cell_length_c 12.246
_cell_angle_alpha 90.00
_cell_angle_beta 90.00
_cell_angle_gamma 90.00
_space_group_name_H-M_alt 'C m c m'
_space_group_IT_number 63
_space_group_name_Hall '-C 2c 2'
loop_
_atom_site_label
_atom_site_type_symbol
_atom_site_fract_x
_atom_site_fract_y
_atom_site_fract_z
Pm1 Pm 0.000 0.172 0.250
Ge1 Ge 0.000 0.108 0.750
Ge2 Ge 0.000 0.383 0.549
Rh1 Rh 0.000 0.000 0.000
Rh2 Rh 0.000 0.199 0.572
Rh3 Rh 0.000 0.446 0.142

---

2.
# Pm2Ge5Rh3, relaxed, DFT PBE
# Formation energy ... -822.1 meV/atom
data_Pm2Ge5Rh3
_chemical_formula_sum 'Pm8 Ge20 Rh12'
_cell_length_a 10.171
_cell_length_b 12.096
_cell_length_c 6.021
_cell_angle_alpha 90.00
_cell_angle_beta 90.00
_cell_angle_gamma 90.00
_space_group_name_H-M_alt 'I b a m'
_space_group_IT_number 72
_space_group_name_Hall '-I 2 2c'
loop_
_atom_site_label
_atom_site_type_symbol
_atom_site_fract_x
_atom_site_fract_y
_atom_site_fract_z
Pm1 Pm 0.231 0.134 0.000
Ge1 Ge 0.000 0.000 0.250
Ge2 Ge 0.000 0.279 0.250
Ge3 Ge 0.162 0.401 0.000
Rh1 Rh 0.000 0.500 0.250
Rh2 Rh 0.106 0.141 0.500

---

3.
# Pm3Ge2Rh2, relaxed, DFT PBE
# Formation energy ... -873.7 meV/atom
data_Pm3Ge2Rh2
_chemical_formula_sum 'Pm12 Ge8 Rh8'
_cell_length_a 5.687
_cell_length_b 8.022
_cell_length_c 13.496
_cell_angle_alpha 90.00
_cell_angle_beta 90.00
_cell_angle_gamma 90.00
_space_group_name_H-M_alt 'P b c m'
_space_group_IT_number 57
loop_
_space_group_symop_operation_xyz
'x,y,z'
'-x,-y,-z'
'-x,-y,z+1/2'
'x,y,-z+1/2'
'x,-y+1/2,-z'
'-x,y+1/2,z'
'-x,y+1/2,-z+1/2'
'x,-y+1/2,z+1/2'
loop_
_atom_site_label
_atom_site_type_symbol
_atom_site_fract_x
_atom_site_fract_y
_atom_site_fract_z
Pm1 Pm 0.134 0.247 0.250
Pm2 Pm 0.357 0.607 0.100
Ge1 Ge 0.150 0.250 0.000
Ge2 Ge 0.360 0.606 0.750
Rh1 Rh 0.124 0.538 0.591

---

4.
# Pm12GeRh6, relaxed, DFT PBE
# Formation energy ... -498.1 meV/atom
# Energy relative to the lowest polymorph listed for this composition ... 0.0381 eV/atom
data_Pm12GeRh6
_chemical_formula_sum 'Pm36 Ge3 Rh18'
_cell_length_a 13.0767
_cell_length_b 13.0767
_cell_length_c 11.3551
_cell_angle_alpha 90.00
_cell_angle_beta 90.00
_cell_angle_gamma 120.00
_space_group_name_H-M_alt 'R -3'
_space_group_IT_number 148
_space_group_name_Hall '-R 3'
loop_
_atom_site_label
_atom_site_type_symbol
_atom_site_fract_x
_atom_site_fract_y
_atom_site_fract_z
Pm1 Pm 0.0282 0.2119 0.3870
Pm2 Pm 0.0348 0.2147 0.8864
Ge1 Ge 0.0000 0.0000 0.0000
Rh1 Rh 0.0432 0.2593 0.6451